No. 1
First-principles (PBE) data for an optimized crystal structure of Ca2HW, as listed in the Alexandria database. Values from VASP.

```
&SYSTEM
  ibrav = 0, nat = 8, ntyp = 3
/
ATOMIC_SPECIES
H 1.01 H.upf
Ca 40.08 Ca.upf
W 183.84 W.upf
ATOMIC_POSITIONS angstrom
H 2.2105 -3.4980 -2.4712
H 6.0094 -3.9446 -3.1408
Ca 1.3080 -4.5653 -0.7942
Ca 4.2439 -2.7377 -2.7019
Ca 5.5648 -5.7365 -1.9757
Ca 6.6700 -9.1766 -3.5703
W 0.0000 0.0000 0.0000
W 2.8839 -7.1635 -1.3803
CELL_PARAMETERS angstrom
-0.9150 -6.7168 -0.7107
5.3360 -0.2791 -4.2317
4.4723 -4.1121 0.4214
```

The value obtained for the distance to the lowest polymorph of the same formula is 0 meV/atom.

No. 2
First-principles (PBE) data for an optimized crystal structure of Ho2Tl2InSe6, as listed in the Alexandria database. Values from VASP.

```
&SYSTEM
  ibrav = 0, nat = 11, ntyp = 4
/
ATOMIC_SPECIES
Ho 164.93 Ho.upf
Tl 204.38 Tl.upf
In 114.82 In.upf
Se 78.96 Se.upf
ATOMIC_POSITIONS angstrom
Ho 2.1342 -1.7704 -4.0344
Ho 2.9824 -3.8518 -0.4840
Tl -0.4647 -5.0218 2.0012
Tl -2.1138 -0.9754 -4.9011
In 3.8475 0.1875 -0.8093
Se 3.4727 -4.2292 -3.3090
Se 4.4556 -0.1483 -3.5838
Se 1.6438 -1.3930 -1.2094
Se 5.2853 -2.1843 -0.1109
Se 0.6609 -5.4739 -0.9346
Se -0.1688 -3.4379 -4.4075
CELL_PARAMETERS angstrom
-0.0396 -6.0650 3.7806
-2.5389 0.0678 -6.6804
7.6950 0.3750 -1.6186
```

For the formation energy without anion corrections, the calculation gives -1.05 eV per atom.

No. 3
First-principles (PBE) data for an optimized crystal structure of La2TmAs4Pd3, as listed in the Alexandria database. Values from VASP.

```
&SYSTEM
  ibrav = 0, nat = 10, ntyp = 4
/
ATOMIC_SPECIES
La 138.91 La.upf
Tm 168.93 Tm.upf
As 74.92 As.upf
Pd 106.42 Pd.upf
ATOMIC_POSITIONS angstrom
La 2.2406 0.0000 2.3467
La 0.0000 2.2406 8.4436
Tm 2.2406 2.2406 5.3952
As 2.2406 2.2406 0.0000
As 0.0000 0.0000 0.0000
As 2.2406 0.0000 7.0323
As 0.0000 2.2406 3.7580
Pd 0.0000 0.0000 5.3952
Pd 2.2406 0.0000 9.5533
Pd 0.0000 2.2406 1.2371
CELL_PARAMETERS angstrom
4.4812 0.0000 0.0000
0.0000 4.4812 0.0000
0.0000 0.0000 10.7903
```

The calculation puts the formation energy at -1019 meV/atom.

No. 4
First-principles (PBE) data for an optimized crystal structure of SrLiErSe3, as listed in the Alexandria database. Values from VASP.

```
&SYSTEM
  ibrav = 0, nat = 12, ntyp = 4
/
ATOMIC_SPECIES
Sr 87.62 Sr.upf
Li 6.94 Li.upf
Er 167.26 Er.upf
Se 78.96 Se.upf
ATOMIC_POSITIONS angstrom
Sr -2.2129 1.3072 -0.3237
Sr -8.2974 3.6965 0.1019
Li -2.1511 4.6217 -1.3957
Li -8.3592 0.3820 1.1738
Er -5.2554 -0.6099 2.1144
Er -5.2549 5.6137 -2.3362
Se -7.6866 -2.0062 1.5126
Se -2.8237 7.0099 -1.7344
Se -6.5752 1.8952 2.1305
Se -3.9351 3.1085 -2.3523
Se -4.7752 -0.5258 -0.7100
Se -5.7351 5.5295 0.4882
CELL_PARAMETERS angstrom
-2.0729 -1.0700 -3.4280
-6.6239 -2.6288 4.8259
-1.8135 8.7025 -1.6197
```

For the formation energy without anion corrections, the calculation gives -1.79 eV per atom.

No. 5
First-principles (PBE) data for an optimized crystal structure of Tb3HoSn12, as listed in the Alexandria database. Values from VASP.

```
&SYSTEM
  ibrav = 0, nat = 16, ntyp = 3
/
ATOMIC_SPECIES
Tb 158.93 Tb.upf
Ho 164.93 Ho.upf
Sn 118.71 Sn.upf
ATOMIC_POSITIONS angstrom
Tb -1.4357 -4.4012 0.5821
Tb -2.8749 -8.8128 1.1657
Tb -4.3140 -13.2244 1.7492
Ho 0.0000 0.0000 0.0000
Sn -3.1574 0.9531 -0.5813
Sn -4.5917 -3.4437 0.0002
Sn -6.0323 -7.8597 0.5843
Sn -7.4728 -12.2756 1.1684
Sn -2.5071 -1.4248 1.6345
Sn -3.9484 -5.8431 2.2189
Sn -5.3881 -10.2565 2.8026
Sn -6.8295 -14.6748 3.3870
Sn -2.0777 -1.9977 -1.6370
Sn -3.5190 -6.4160 -1.0526
Sn -4.9587 -10.8293 -0.4689
Sn -6.4001 -15.2476 0.1155
CELL_PARAMETERS angstrom
-3.5868 1.5259 2.6902
-2.7279 0.3803 -3.8528
-5.7498 -17.6255 2.3313
```

The calculation puts the formation energy at -434 meV/atom.

No. 6
First-principles (PBE) data for an optimized crystal structure of NdRhPb, as listed in the Alexandria database. Values from VASP.

```
&SYSTEM
  ibrav = 0, nat = 18, ntyp = 3
/
ATOMIC_SPECIES
Nd 144.24 Nd.upf
Rh 102.91 Rh.upf
Pb 207.20 Pb.upf
ATOMIC_POSITIONS angstrom
Nd 0.0000 1.7364 13.1214
Nd 0.0000 6.2523 0.6587
Nd 0.0000 1.7364 7.5487
Nd 0.0000 6.2523 6.2314
Nd 0.0000 1.2213 3.4450
Nd 0.0000 6.7674 10.3351
Rh 1.9543 0.5226 1.3574
Rh 1.9543 7.4661 12.4226
Rh 1.9543 0.5226 5.5326
Rh 1.9543 7.4661 8.2475
Rh 0.0000 4.4165 3.4450
Rh 0.0000 3.5722 10.3351
Pb 1.9543 3.4228 1.6122
Pb 1.9543 4.5660 12.1679
Pb 1.9543 3.4228 5.2778
Pb 1.9543 4.5660 8.5023
Pb 1.9543 6.4770 3.4450
Pb 1.9543 1.5117 10.3351
CELL_PARAMETERS angstrom
3.9086 0.0000 0.0000
0.0000 7.9887 0.0000
0.0000 0.0000 13.7801
```

The calculation puts the formation energy at -606 meV/atom.

No. 7
First-principles (PBE) data for an optimized crystal structure of YSiIF2, as listed in the Alexandria database. Values from VASP.

```
&SYSTEM
  ibrav = 0, nat = 5, ntyp = 4
/
ATOMIC_SPECIES
I 126.90 I.upf
Y 88.91 Y.upf
Si 28.09 Si.upf
F 19.00 F.upf
ATOMIC_POSITIONS angstrom
I 0.0000 0.0000 0.0000
Y 2.2918 2.7814 2.2918
Si 0.0000 2.7814 0.0000
F 0.0000 0.0000 2.2918
F 2.2918 0.0000 0.0000
CELL_PARAMETERS angstrom
4.5835 0.0000 0.0000
0.0000 5.5628 0.0000
0.0000 0.0000 4.5835
```

For the formation energy without anion corrections, the calculation gives -0.53 eV per atom.

No. 8
First-principles (PBE) data for an optimized crystal structure of Zr3BeP, as listed in the Alexandria database. Values from VASP.

```
&SYSTEM
  ibrav = 0, nat = 5, ntyp = 3
/
ATOMIC_SPECIES
P 30.97 P.upf
Zr 91.22 Zr.upf
Be 9.01 Be.upf
ATOMIC_POSITIONS angstrom
P 0.0000 0.0000 0.0000
Zr 0.0000 2.4179 0.0000
Zr 0.0000 0.0000 2.4179
Zr 2.4179 0.0000 0.0000
Be 2.4179 2.4179 2.4179
CELL_PARAMETERS angstrom
4.8358 0.0000 0.0000
0.0000 4.8358 0.0000
0.0000 0.0000 4.8358
```

The value obtained for the distance to the lowest polymorph of the same formula is 643 meV/atom. The calculation puts the formation energy at 14 meV/atom.

No. 9
First-principles (PBE) data for an optimized crystal structure of Dy3Ho2N4, as listed in the Alexandria database. Values from VASP.

```
&SYSTEM
  ibrav = 0, nat = 9, ntyp = 3
/
ATOMIC_SPECIES
Dy 162.50 Dy.upf
Ho 164.93 Ho.upf
N 14.01 N.upf
ATOMIC_POSITIONS angstrom
Dy 1.7337 1.0070 5.5268
Dy 0.0000 0.0000 0.0000
Dy 0.0054 2.0048 8.8816
Ho 1.7416 1.0024 11.6620
Ho -0.0025 2.0094 2.7465
N 0.0014 2.0071 12.9608
N 3.4736 0.0025 4.3156
N -1.7345 3.0093 10.0929
N 1.7377 1.0047 1.4477
CELL_PARAMETERS angstrom
3.4779 0.0000 0.0040
-1.7390 3.0119 -0.0040
0.0002 -0.0001 14.4085
```

For the formation energy without anion corrections, the calculation gives -1.51 eV per atom.

No. 10
First-principles (PBE) data for an optimized crystal structure of Mg4NiPd3, as listed in the Alexandria database. Values from VASP.

```
&SYSTEM
  ibrav = 0, nat = 8, ntyp = 3
/
ATOMIC_SPECIES
Ni 58.69 Ni.upf
Mg 24.30 Mg.upf
Pd 106.42 Pd.upf
ATOMIC_POSITIONS angstrom
Ni 0.0000 0.0000 0.0000
Mg 5.4812 3.3486 5.0797
Mg 2.3680 1.4466 7.7436
Mg 0.7967 0.4867 5.1836
Mg 3.9100 2.3887 2.5197
Pd 1.5734 0.9612 2.5525
Pd 4.7045 2.8741 7.7107
Pd 3.1390 1.9177 5.1316
CELL_PARAMETERS angstrom
4.2808 0.0000 1.2636
1.9539 3.8088 1.2636
0.0433 0.0265 7.7360
```

The calculation puts the formation energy at -579 meV/atom.

No. 11
First-principles (PBE) data for an optimized crystal structure of Sc4Co2Ni, as listed in the Alexandria database. Values from VASP.

```
&SYSTEM
  ibrav = 0, nat = 7, ntyp = 3
/
ATOMIC_SPECIES
Sc 44.96 Sc.upf
Co 58.93 Co.upf
Ni 58.69 Ni.upf
ATOMIC_POSITIONS angstrom
Sc -2.1441 -7.8185 -0.1720
Sc 0.4324 -4.2199 2.8682
Sc -1.7084 -4.8199 -0.8262
Sc -0.0033 -7.2185 3.5224
Co -1.2604 -9.0616 2.0818
Co -0.4513 -2.9767 0.6144
Ni 0.0000 0.0000 0.0000
CELL_PARAMETERS angstrom
-3.4076 -2.7886 -0.2020
0.3761 -3.7815 -2.2333
1.3199 -5.4683 5.1314
```

The calculation puts the formation energy at -331 meV/atom.

No. 12
First-principles (PBE) data for an optimized crystal structure of Fe3Ni12W, as listed in the Alexandria database. Values from VASP.

```
&SYSTEM
  ibrav = 0, nat = 16, ntyp = 3
/
ATOMIC_SPECIES
Fe 55.84 Fe.upf
Ni 58.69 Ni.upf
W 183.84 W.upf
ATOMIC_POSITIONS angstrom
Fe 0.0000 0.0000 3.6653
Fe 0.0000 0.0000 7.1455
Fe 0.0000 0.0000 10.6257
Ni 1.7853 1.7853 0.0000
Ni 1.7853 1.7853 3.6003
Ni 1.7853 1.7853 7.1455
Ni 1.7853 1.7853 10.6908
Ni 1.7853 0.0000 1.8163
Ni 1.7853 0.0000 5.3769
Ni 1.7853 0.0000 8.9142
Ni 1.7853 0.0000 12.4747
Ni 0.0000 1.7853 1.8163
Ni 0.0000 1.7853 5.3769
Ni 0.0000 1.7853 8.9142
Ni 0.0000 1.7853 12.4747
W 0.0000 0.0000 0.0000
CELL_PARAMETERS angstrom
3.5707 0.0000 0.0000
0.0000 3.5707 0.0000
0.0000 0.0000 14.2911
```

The calculation puts the formation energy at -68 meV/atom.

Number 1: total magnetization 6.0 Bohr magnetons per cell, total energy -4.15 eV/atom. Number 2: total magnetization 0.0 Bohr magnetons per cell, total energy -4.47 eV/atom. Number 3: total magnetization 0.0 Bohr magnetons per cell, total energy -5.87 eV/atom. Number 4: total magnetization 0.0 Bohr magnetons per cell, total energy -4.89 eV/atom. Number 5: total magnetization 0.0 Bohr magnetons per cell, total energy -4.59 eV/atom. Number 6: total magnetization 0.0 Bohr magnetons per cell, total energy -5.88 eV/atom. Number 7: total magnetization 0.0 Bohr magnetons per cell, total energy -3.97 eV/atom. Number 8: total magnetization 0.0 Bohr magnetons per cell, total energy -6.94 eV/atom. Number 9: total magnetization 0.3 Bohr magnetons per cell, total energy -7.76 eV/atom. Number 10: total magnetization 0.0 Bohr magnetons per cell, total energy -4.05 eV/atom. Number 11: total magnetization 0.0 Bohr magnetons per cell, total energy -6.81 eV/atom. Number 12: total magnetization 14.7 Bohr magnetons per cell, total energy -6.80 eV/atom.